ZnCu2Mo (PBE-GGA, relaxed); symmetry = No. 139; energy of formation = 282 meV per atom; crystal system = tetragonal; magnetization = 0.416 μB/f.u.
1.0
4.530 -0.007 0.000
1.210 4.365 0.000
-2.870 -2.179 2.745
Zn Cu Mo
1 2 1
direct
0.750 0.250 0.500
0.000 0.000 0.000
0.500 0.500 0.000
0.250 0.750 0.500